This record from OQMD describes a geometry-optimized AlCuP structure. The functional is PBE.

Properties
Uncorrected energy (eV per atom): -4.288
Crystal system: cubic

```
3
Lattice="0.000 2.869 2.869 2.869 0.000 2.869 2.869 2.869 0.000" Properties=species:S:1:pos:R:3 pbc="T T T"
Al 0.000 0.000 0.000
Cu 4.304 4.304 4.304
P 2.869 2.869 2.869
```